First-principles (GGA-PBEsol) data for a geometry-optimized CoHSe2 structure, as listed in Alexandria via LeMat-Bulk.

Calculated values
* ρ: 5.65 g/cm³
* total energy: -4.850 eV per atom
* density of states at the Fermi level: 0.67 states/eV/f.u.

Lattice parameters (Å, degrees): 6.1718 6.1718 6.1718 33.58 33.58 33.58
With the nearest neighbours (Å) after each atom.
Fractional positions:
1 Co 0.0000 0.0000 0.0000  6 Se 2.36
2 H 0.5000 0.5000 0.5000  2 Se 1.76
3 Se 0.3989 0.3989 0.3989  1 H 1.76
4 Se 0.6011 0.6011 0.6011  1 H 1.76

First-principles (GGA-PBEsol) data for a geometry-optimized CoSi2H structure, as listed in Alexandria via LeMat-Bulk.

Calculated values
* ρ: 4.95 g/cm³
* total energy: -5.522 eV per atom
* density of states at the Fermi level: 2.54 states/eV/f.u.

Lattice parameters (Å, degrees): 3.8062 3.8062 3.8062 60.00 60.00 60.00
With the nearest neighbours (Å) after each atom.
Fractional positions:
1 Co 0.0000 0.0000 0.0000  8 Si 2.33
2 Si 0.2500 0.2500 0.2500  4 H 2.33, 4 Co 2.33
3 Si 0.7500 0.7500 0.7500  4 Co 2.33, 4 H 2.33
4 H 0.5000 0.5000 0.5000  8 Si 2.33

First-principles (GGA-PBEsol) data for a geometry-optimized Co2SnH2 structure, as listed in Alexandria via LeMat-Bulk.

Calculated values
* ρ: 9.04 g/cm³
* energy relative to the lowest polymorph listed for this composition: 0 meV per atom
* total energy: -5.237 eV per atom
* density of states at the Fermi level: 3.16 states/eV/f.u.

Lattice parameters (Å, degrees): 5.0795 5.0795 5.0795 144.56 144.56 51.00
With the nearest neighbours (Å) after each atom.
Fractional positions:
1 Co 0.1572 0.1572 0.0000  4 H 1.76
2 Co 0.8428 0.8428 0.0000  4 H 1.76
3 Sn 0.5000 0.5000 0.0000  8 Co 2.62, 8 H 2.77
4 H 0.2500 0.7500 0.5000  4 Co 1.76
5 H 0.7500 0.2500 0.5000  4 Co 1.76

First-principles (GGA-PBEsol) data for a geometry-optimized Co2SnH2 structure, as listed in Alexandria via LeMat-Bulk.

Calculated values
* ρ: 8.57 g/cm³
* energy relative to the lowest polymorph listed for this composition: 328 meV per atom
* total energy: -4.909 eV per atom
* density of states at the Fermi level: 1.23 states/eV/f.u.

Lattice parameters (Å, degrees): 5.7594 5.7594 2.7886 90.00 90.00 90.00
With the nearest neighbours (Å) after each atom.
Fractional positions:
1 Co 0.1473 0.3527 0.0000  4 H 1.92
2 Co 0.3527 0.8527 0.0000  4 H 1.92
3 Co 0.6473 0.1473 0.0000  4 H 1.92
4 Co 0.8527 0.6473 0.0000  4 H 1.92
5 Sn 0.0000 0.0000 0.5000  4 H 2.53, 8 Co 2.61, 2 Sn 2.79
6 Sn 0.5000 0.5000 0.5000  4 H 2.53, 8 Co 2.61, 2 Sn 2.79
7 H 0.0665 0.5665 0.5000  1 H 1.08
8 H 0.4335 0.0665 0.5000  1 H 1.08
9 H 0.5665 0.9335 0.5000  1 H 1.08
10 H 0.9335 0.4335 0.5000  1 H 1.08

First-principles (GGA-PBEsol) data for a geometry-optimized Zr6CoSn2H10 structure, as listed in Alexandria via LeMat-Bulk.

Calculated values
* ρ: 7.02 g/cm³
* total energy: -6.007 eV per atom
* density of states at the Fermi level: 6.57 states/eV/f.u.

Lattice parameters (Å, degrees): 8.0089 8.0089 7.2732 90.00 90.00 120.00
With the nearest neighbours (Å) after each atom.
Fractional positions:
1 Zr 0.0000 0.7443 0.0000  7 H 2.05-2.13
2 Zr 0.0000 0.7443 0.5000  7 H 2.05-2.13
3 Zr 0.0467 0.4172 0.2500  5 H 2.05-2.11
4 Zr 0.2557 0.2557 0.0000  7 H 2.05-2.13
5 Zr 0.2557 0.2557 0.5000  7 H 2.05-2.13
6 Zr 0.3705 0.9533 0.2500  5 H 2.05-2.11
7 Zr 0.4172 0.0467 0.7500  5 H 2.05-2.11
8 Zr 0.5828 0.6295 0.2500  5 H 2.05-2.11
9 Zr 0.6295 0.5828 0.7500  5 H 2.05-2.11
10 Zr 0.7443 0.0000 0.0000  7 H 2.05-2.13
11 Zr 0.7443 0.0000 0.5000  7 H 2.05-2.13
12 Zr 0.9533 0.3705 0.7500  5 H 2.05-2.11
13 Co 0.0000 0.0000 0.2500  5 H 1.64-1.82
14 Co 0.0000 0.0000 0.7500  5 H 1.64-1.82
15 Sn 0.3333 0.6667 0.5408  6 H 2.90-2.94, 9 Zr 3.02-3.16, 1 Sn 3.04
16 Sn 0.3333 0.6667 0.9592  6 H 2.90-2.94, 9 Zr 3.02-3.16, 1 Sn 3.04
17 Sn 0.6667 0.3333 0.0408  6 H 2.90-2.94, 9 Zr 3.02-3.16, 1 Sn 3.04
18 Sn 0.6667 0.3333 0.4592  6 H 2.90-2.94, 9 Zr 3.02-3.16, 1 Sn 3.04
19 H 0.0000 0.0000 0.0000  2 Co 1.82
20 H 0.0000 0.0000 0.5000  2 Co 1.82
21 H 0.0000 0.2756 0.0000  4 Zr 2.08-2.13, 3 H 2.15-2.21
22 H 0.0000 0.2756 0.5000  4 Zr 2.08-2.13, 3 H 2.15-2.21
23 H 0.1070 0.7052 0.2500  4 Zr 2.05-2.11, 1 H 2.07
24 H 0.1174 0.8812 0.7500  1 Co 1.64
25 H 0.1188 0.2362 0.7500  1 Co 1.64
26 H 0.2362 0.1188 0.2500  1 Co 1.64
27 H 0.2756 0.0000 0.0000  4 Zr 2.08-2.13, 3 H 2.15-2.21
28 H 0.2756 0.0000 0.5000  4 Zr 2.08-2.13, 3 H 2.15-2.21
29 H 0.2948 0.4018 0.2500  4 Zr 2.05-2.11, 1 H 2.07
30 H 0.4018 0.2948 0.7500  4 Zr 2.05-2.11, 1 H 2.07
31 H 0.5982 0.8930 0.2500  4 Zr 2.05-2.11, 1 H 2.07
32 H 0.7052 0.1070 0.7500  4 Zr 2.05-2.11, 1 H 2.07
33 H 0.7244 0.7244 0.0000  4 Zr 2.08-2.13, 3 H 2.15-2.21
34 H 0.7244 0.7244 0.5000  4 Zr 2.08-2.13, 3 H 2.15-2.21
35 H 0.7638 0.8826 0.7500  1 Co 1.64
36 H 0.8812 0.1174 0.2500  1 Co 1.64
37 H 0.8826 0.7638 0.2500  1 Co 1.64
38 H 0.8930 0.5982 0.7500  4 Zr 2.05-2.11, 1 H 2.07

First-principles (GGA-PBEsol) data for a geometry-optimized SrCo3H structure, as listed in Alexandria via LeMat-Bulk.

Calculated values
* ρ: 7.30 g/cm³
* total energy: -5.038 eV per atom
* density of states at the Fermi level: 8.10 states/eV/f.u.

Lattice parameters (Å, degrees): 3.9224 3.9224 3.9224 90.00 90.00 90.00
With the nearest neighbours (Å) after each atom.
Fractional positions:
1 Sr 0.0000 0.0000 0.0000  12 Co 2.77
2 Co 0.0000 0.5000 0.5000  2 H 1.96
3 Co 0.5000 0.0000 0.5000  2 H 1.96
4 Co 0.5000 0.5000 0.0000  2 H 1.96
5 H 0.5000 0.5000 0.5000  6 Co 1.96

First-principles (GGA-PBEsol) data for a geometry-optimized TaCo3H structure, as listed in Alexandria via LeMat-Bulk.

Calculated values
* ρ: 12.48 g/cm³
* total energy: -8.113 eV per atom
* density of states at the Fermi level: 2.86 states/eV/f.u.

Lattice parameters (Å, degrees): 3.6272 3.6272 3.6272 90.00 90.00 90.00
With the nearest neighbours (Å) after each atom.
Fractional positions:
1 Ta 0.0000 0.0000 0.0000  12 Co 2.56
2 Co 0.0000 0.5000 0.5000  2 H 1.81
3 Co 0.5000 0.0000 0.5000  2 H 1.81
4 Co 0.5000 0.5000 0.0000  2 H 1.81
5 H 0.5000 0.5000 0.5000  6 Co 1.81

First-principles (GGA-PBEsol) data for a geometry-optimized Ta2CoH2 structure, as listed in Alexandria via LeMat-Bulk.

Calculated values
* ρ: 14.04 g/cm³
* energy relative to the lowest polymorph listed for this composition: 0 meV per atom
* total energy: -8.056 eV per atom
* density of states at the Fermi level: 4.68 states/eV/f.u.

Lattice parameters (Å, degrees): 6.3459 6.3459 6.3459 153.72 153.72 37.50
With the nearest neighbours (Å) after each atom.
Fractional positions:
1 Ta 0.1388 0.1388 0.0000  4 H 1.97
2 Ta 0.8612 0.8612 0.0000  4 H 1.97
3 Co 0.5000 0.5000 0.0000  8 Ta 2.64, 4 Co 2.88
4 H 0.2500 0.7500 0.5000  4 Ta 1.97, 4 H 2.04
5 H 0.7500 0.2500 0.5000  4 Ta 1.97, 4 H 2.04

First-principles (GGA-PBEsol) data for a geometry-optimized Ta2CoH2 structure, as listed in Alexandria via LeMat-Bulk.

Calculated values
* ρ: 14.29 g/cm³
* energy relative to the lowest polymorph listed for this composition: 230 meV per atom
* total energy: -7.826 eV per atom
* density of states at the Fermi level: 3.52 states/eV/f.u.

Lattice parameters (Å, degrees): 5.9434 5.9434 2.7820 90.00 90.00 90.00
With the nearest neighbours (Å) after each atom.
Fractional positions:
1 Ta 0.1675 0.3325 0.0000  6 H 2.22-2.27
2 Ta 0.3325 0.8325 0.0000  6 H 2.22-2.27
3 Ta 0.6675 0.1675 0.0000  6 H 2.22-2.27
4 Ta 0.8325 0.6675 0.0000  6 H 2.22-2.27
5 Co 0.0000 0.0000 0.5000  4 H 2.37, 8 Ta 2.61
6 Co 0.5000 0.5000 0.5000  4 H 2.37, 8 Ta 2.61
7 H 0.1198 0.6198 0.5000  1 H 2.01, 4 Ta 2.22
8 H 0.3802 0.1198 0.5000  1 H 2.01, 4 Ta 2.22
9 H 0.6198 0.8802 0.5000  1 H 2.01, 4 Ta 2.22
10 H 0.8802 0.3802 0.5000  1 H 2.01, 4 Ta 2.22

First-principles (GGA-PBEsol) data for a geometry-optimized CoTcH2 structure, as listed in Alexandria via LeMat-Bulk.

Calculated values
* ρ: 8.86 g/cm³
* total energy: -6.292 eV per atom
* density of states at the Fermi level: 3.00 states/eV/f.u.

Lattice parameters (Å, degrees): 4.8011 4.8011 4.8011 132.18 132.18 69.94
With the nearest neighbours (Å) after each atom.
Fractional positions:
1 Co 0.0000 0.0000 0.0000  4 H 1.59
2 Co 0.7500 0.2500 0.5000  4 H 1.59
3 Tc 0.2500 0.7500 0.5000  4 H 1.81
4 Tc 0.5000 0.5000 0.0000  4 H 1.81
5 H 0.0757 0.6250 0.9507  2 Co 1.59
6 H 0.3750 0.3257 0.4507  2 Co 1.59
7 H 0.6743 0.1250 0.0493  2 Co 1.59
8 H 0.8750 0.9243 0.5493  2 Co 1.59

First-principles (GGA-PBEsol) data for a geometry-optimized CoTc3H structure, as listed in Alexandria via LeMat-Bulk.

Calculated values
* ρ: 10.84 g/cm³
* total energy: -8.897 eV per atom
* density of states at the Fermi level: 4.62 states/eV/f.u.

Lattice parameters (Å, degrees): 3.7850 3.7850 3.7850 90.00 90.00 90.00
With the nearest neighbours (Å) after each atom.
Fractional positions:
1 Co 0.0000 0.0000 0.0000  12 Tc 2.68
2 Tc 0.0000 0.5000 0.5000  2 H 1.89
3 Tc 0.5000 0.0000 0.5000  2 H 1.89
4 Tc 0.5000 0.5000 0.0000  2 H 1.89
5 H 0.5000 0.5000 0.5000  6 Tc 1.89

First-principles (GGA-PBEsol) data for a geometry-optimized Zr2CoTcH structure, as listed in Alexandria via LeMat-Bulk.

Calculated values
* ρ: 5.50 g/cm³
* total energy: -6.923 eV per atom
* density of states at the Fermi level: 4.54 states/eV/f.u.

Lattice parameters (Å, degrees): 4.9627 4.9627 4.1716 90.00 90.00 90.00
With the nearest neighbours (Å) after each atom.
Fractional positions:
1 Zr 0.0000 0.5000 0.0000  2 Tc 2.48
2 Zr 0.5000 0.0000 0.0000  2 Tc 2.48
3 Co 0.0000 0.0000 0.5000  2 Tc 2.09
4 Tc 0.0000 0.0000 0.0000  2 Co 2.09
5 H 0.5000 0.5000 0.5000  8 Zr 3.24, 4 Co 3.51

First-principles (GGA-PBEsol) data for a geometry-optimized CoTeH3 structure, as listed in Alexandria via LeMat-Bulk.

Calculated values
* ρ: 7.36 g/cm³
* total energy: -3.711 eV per atom
* density of states at the Fermi level: 2.33 states/eV/f.u.

Lattice parameters (Å, degrees): 3.4971 3.4971 3.4971 90.00 90.00 90.00
With the nearest neighbours (Å) after each atom.
Fractional positions:
1 Co 0.0000 0.0000 0.0000  6 H 1.75
2 Te 0.5000 0.5000 0.5000  12 H 2.47
3 H 0.0000 0.0000 0.5000  2 Co 1.75
4 H 0.0000 0.5000 0.0000  2 Co 1.75
5 H 0.5000 0.0000 0.0000  2 Co 1.75

First-principles (GGA-PBEsol) data for a geometry-optimized Co2TeH structure, as listed in Alexandria via LeMat-Bulk.

Calculated values
* ρ: 8.58 g/cm³
* total energy: -5.429 eV per atom
* density of states at the Fermi level: 3.07 states/eV/f.u.

Lattice parameters (Å, degrees): 5.5839 5.5839 5.5839 131.58 131.58 70.89
With the nearest neighbours (Å) after each atom.
Fractional positions:
1 Co 0.3750 0.2233 0.3483  2 H 1.68
2 Co 0.7767 0.1250 0.1517  2 H 1.68
3 Co 0.8750 0.0267 0.6517  2 H 1.68
4 Co 0.9733 0.6250 0.8483  2 H 1.68
5 Te 0.2500 0.7500 0.5000  4 Co 2.45
6 Te 0.5000 0.5000 0.0000  4 Co 2.45
7 H 0.0000 0.0000 0.0000  4 Co 1.68
8 H 0.7500 0.2500 0.5000  4 Co 1.68

First-principles (GGA-PBEsol) data for a geometry-optimized TiCoH3 structure, as listed in Alexandria via LeMat-Bulk.

Calculated values
* ρ: 5.59 g/cm³
* total energy: -5.498 eV per atom
* density of states at the Fermi level: 3.77 states/eV/f.u.

Lattice parameters (Å, degrees): 3.1955 3.1955 3.1955 90.00 90.00 90.00
With the nearest neighbours (Å) after each atom.
Fractional positions:
1 Ti 0.0000 0.0000 0.0000  12 H 2.26
2 Co 0.5000 0.5000 0.5000  6 H 1.60
3 H 0.0000 0.5000 0.5000  2 Co 1.60
4 H 0.5000 0.0000 0.5000  2 Co 1.60
5 H 0.5000 0.5000 0.0000  2 Co 1.60

First-principles (GGA-PBEsol) data for a geometry-optimized TlCo3H structure, as listed in Alexandria via LeMat-Bulk.

Calculated values
* ρ: 12.08 g/cm³
* total energy: -5.567 eV per atom
* density of states at the Fermi level: 8.27 states/eV/f.u.

Lattice parameters (Å, degrees): 3.7457 3.7457 3.7457 90.00 90.00 90.00
With the nearest neighbours (Å) after each atom.
Fractional positions:
1 Tl 0.0000 0.0000 0.0000  12 Co 2.65
2 Co 0.0000 0.5000 0.5000  2 H 1.87
3 Co 0.5000 0.0000 0.5000  2 H 1.87
4 Co 0.5000 0.5000 0.0000  2 H 1.87
5 H 0.5000 0.5000 0.5000  6 Co 1.87

First-principles (GGA-PBEsol) data for a geometry-optimized Co3HW structure, as listed in Alexandria via LeMat-Bulk.

Calculated values
* ρ: 12.96 g/cm³
* total energy: -8.147 eV per atom
* density of states at the Fermi level: 1.71 states/eV/f.u.

Lattice parameters (Å, degrees): 3.5914 3.5914 3.5914 90.00 90.00 90.00
With the nearest neighbours (Å) after each atom.
Fractional positions:
1 Co 0.0000 0.0000 0.5000  2 H 1.80
2 Co 0.0000 0.5000 0.0000  2 H 1.80
3 Co 0.5000 0.0000 0.0000  2 H 1.80
4 H 0.0000 0.0000 0.0000  6 Co 1.80
5 W 0.5000 0.5000 0.5000  12 Co 2.54

First-principles (GGA-PBEsol) data for a geometry-optimized YCoH2 structure, as listed in Alexandria via LeMat-Bulk.

Calculated values
* ρ: 6.10 g/cm³
* total energy: -5.592 eV per atom
* density of states at the Fermi level: 1.41 states/eV/f.u.

Lattice parameters (Å, degrees): 5.6309 5.6309 5.6309 137.13 137.13 62.24
With the nearest neighbours (Å) after each atom.
Fractional positions:
1 Y 0.0000 0.0000 0.0000  4 H 2.27
2 Y 0.7500 0.2500 0.5000  4 H 2.27
3 Co 0.2500 0.7500 0.5000  4 H 1.64
4 Co 0.5000 0.5000 0.0000  4 H 1.64
5 H 0.2706 0.6250 0.1456  2 Co 1.64
6 H 0.3750 0.5206 0.6456  2 Co 1.64
7 H 0.4794 0.1250 0.8544  2 Co 1.64
8 H 0.8750 0.7294 0.3544  2 Co 1.64

First-principles (GGA-PBEsol) data for a geometry-optimized ZnCoH3 structure, as listed in Alexandria via LeMat-Bulk.

Calculated values
* ρ: 6.49 g/cm³
* total energy: -3.755 eV per atom
* density of states at the Fermi level: 1.00 states/eV/f.u.

Lattice parameters (Å, degrees): 3.1938 3.1938 3.1938 90.00 90.00 90.00
With the nearest neighbours (Å) after each atom.
Fractional positions:
1 Zn 0.0000 0.0000 0.0000  12 H 2.26
2 Co 0.5000 0.5000 0.5000  6 H 1.60
3 H 0.0000 0.5000 0.5000  2 Co 1.60
4 H 0.5000 0.0000 0.5000  2 Co 1.60
5 H 0.5000 0.5000 0.0000  2 Co 1.60

First-principles (GGA-PBEsol) data for a geometry-optimized ZnCo2H2 structure, as listed in Alexandria via LeMat-Bulk.

Calculated values
* ρ: 8.11 g/cm³
* total energy: -4.743 eV per atom
* density of states at the Fermi level: 5.55 states/eV/f.u.

Lattice parameters (Å, degrees): 5.1919 5.1919 5.1919 148.57 148.57 45.05
With the nearest neighbours (Å) after each atom.
Fractional positions:
1 Zn 0.0000 0.0000 0.0000  8 Co 2.47
2 Co 0.3466 0.3466 0.0000  4 H 1.68
3 Co 0.6534 0.6534 0.0000  4 H 1.68
4 H 0.2500 0.7500 0.5000  4 Co 1.68
5 H 0.7500 0.2500 0.5000  4 Co 1.68